Density functional theory data (PBE with a Hubbard U) for a relaxed structure of K3Pr2FeO6.

a b c (Å): 6.0637 10.5149 6.5781
angles (deg): 90.00 107.73 90.00
Space group C2/m (No. 12)
Inequivalent atoms, fractional coordinates:
K  0.0000  0.0000  0.0000 (multiplicity 2)
K  0.0000  0.3410  0.0000 (multiplicity 4)
Pr  0.0000  0.1671  0.5000 (multiplicity 4)
Fe  0.0000  0.5000  0.5000 (multiplicity 2)
O  0.2127  0.3490  0.6867 (multiplicity 8)
O  0.2400  0.5000  0.3161 (multiplicity 4)

Properties
The mass density comes out at 4.58 Mg/m³. The total energy is -147.81 eV/cell.